{
  "formula": "VCoO4",
  "functional": "GGA+U",
  "state": "relaxed",
  "sg": "Cmcm",
  "e_tot_ev_per_atom": -6.786,
  "lattice": [[-2.2426, 3.1830, -3.1105], [2.8644, -3.3227, -2.3643], [-4.5622, -3.6302, -0.4256]],
  "species": ["V", "V", "Co", "Co", "O", "O", "O", "O", "O", "O", "O", "O"],
  "frac_coords": [[0.6482, 0.3518, 0.2500], [0.3518, 0.6482, 0.7500], [0.0000, 0.0000, 0.0000], [0.0000, 0.0000, 0.5000], [0.7726, 0.2274, 0.0230], [0.7726, 0.2274, 0.4770], [0.2481, 0.2116, 0.2500], [0.2116, 0.2481, 0.7500], [0.7884, 0.7519, 0.2500], [0.7519, 0.7884, 0.7500], [0.2274, 0.7726, 0.9770], [0.2274, 0.7726, 0.5230]]
}